Material: MgMn2N
Method: DFT, SCAN
State: single point on PBEsol structure

Cell lengths 4.178, 4.178, 4.178 Å; angles 60.00, 60.00, 60.00 degrees
Element x y z (fractional)
Mg 0.000 0.000 0.000
Mn 0.250 0.250 0.250
Mn 0.750 0.750 0.750
N 0.500 0.500 0.500

Summary:
Symmetry = Fm-3m, No. 225
Uncorrected formation energy = 0.834 eV per atom
Calculated volume = 51.57 Å³ per cell

=====

Material: Sr2MnNbSb
Method: DFT, SCAN
State: single point on PBEsol structure

Cell lengths 5.806, 5.806, 5.251 Å; angles 90.00, 90.00, 90.00 degrees
Element x y z (fractional)
Sr 0.000 0.500 0.000
Sr 0.500 0.000 0.000
Mn 0.000 0.000 0.500
Nb 0.500 0.500 0.000
Sb 0.500 0.500 0.500

Summary:
Symmetry = P4/mmm, No. 123
Uncorrected formation energy = 0.682 eV per atom
Calculated volume = 177.02 Å³ per cell

=====

Material: ZnCuSi2O6
Method: DFT, SCAN
State: single point on PBEsol structure

Cell lengths 5.289, 18.291, 8.926 Å; angles 90.00, 90.00, 90.00 degrees
Element x y z (fractional)
Zn 0.099 0.125 0.152
Zn 0.099 0.375 0.652
Zn 0.401 0.625 0.152
Zn 0.401 0.875 0.652
Zn 0.599 0.125 0.348
Zn 0.599 0.375 0.848
Zn 0.901 0.625 0.348
Zn 0.901 0.875 0.848
Cu 0.104 0.126 0.505
Cu 0.104 0.374 0.005
Cu 0.396 0.626 0.505
Cu 0.396 0.874 0.005
Cu 0.604 0.126 0.995
Cu 0.604 0.374 0.495
Cu 0.896 0.626 0.995
Cu 0.896 0.874 0.495
Si 0.097 0.725 0.663
Si 0.097 0.775 0.163
Si 0.232 0.025 0.838
Si 0.232 0.475 0.338
Si 0.268 0.525 0.838
Si 0.268 0.975 0.338
Si 0.403 0.225 0.663
Si 0.403 0.275 0.163
Si 0.597 0.725 0.837
Si 0.597 0.775 0.337
Si 0.732 0.025 0.662
Si 0.732 0.475 0.162
Si 0.768 0.525 0.662
Si 0.768 0.975 0.162
Si 0.903 0.225 0.837
Si 0.903 0.275 0.337
O 0.056 0.549 0.712
O 0.056 0.951 0.212
O 0.086 0.687 0.167
O 0.086 0.813 0.667
O 0.105 0.688 0.498
O 0.105 0.812 0.998
O 0.134 0.192 0.732
O 0.134 0.308 0.232
O 0.195 0.568 0.991
O 0.195 0.932 0.491
O 0.229 0.565 0.344
O 0.229 0.935 0.844
O 0.271 0.065 0.344
O 0.271 0.435 0.844
O 0.305 0.068 0.991
O 0.305 0.432 0.491
O 0.366 0.692 0.732
O 0.366 0.808 0.232
O 0.395 0.188 0.498
O 0.395 0.312 0.998
O 0.414 0.187 0.167
O 0.414 0.313 0.667
O 0.444 0.049 0.712
O 0.444 0.451 0.212
O 0.556 0.549 0.788
O 0.556 0.951 0.288
O 0.586 0.687 0.333
O 0.586 0.813 0.833
O 0.605 0.688 0.002
O 0.605 0.812 0.502
O 0.634 0.192 0.768
O 0.634 0.308 0.268
O 0.695 0.568 0.509
O 0.695 0.932 0.009
O 0.729 0.565 0.156
O 0.729 0.935 0.656
O 0.771 0.065 0.156
O 0.771 0.435 0.656
O 0.805 0.068 0.509
O 0.805 0.432 0.009
O 0.866 0.692 0.768
O 0.866 0.808 0.268
O 0.895 0.188 0.002
O 0.895 0.312 0.502
O 0.914 0.187 0.333
O 0.914 0.313 0.833
O 0.944 0.049 0.788
O 0.944 0.451 0.288

Summary:
Symmetry = Pbca, No. 61
Uncorrected formation energy = -2.279 eV per atom
Excess energy over the best structure of this formula in the dataset = 0.00 eV/f.u.
Calculated volume = 863.49 Å³ per cell

=====

Material: CdPbSe2
Method: DFT, SCAN
State: single point on PBEsol structure

Cell lengths 9.636, 9.636, 9.636 Å; angles 21.63, 21.63, 21.63 degrees
Element x y z (fractional)
Cd 0.000 0.000 0.000
Pb 0.500 0.500 0.500
Se 0.395 0.395 0.395
Se 0.605 0.605 0.605

Summary:
Symmetry = R-3m, No. 166
Uncorrected formation energy = -0.115 eV per atom
Calculated volume = 106.53 Å³ per cell